1.
DFT (PBE) results for a relaxed structure of RbFeSn2.

Unit cell a=8.2532 b=8.2532 c=8.2532 alpha=131.50 beta=131.50 gamma=71.02
Closest atoms and distances in Å follow each position.
Element x y z (fractional)
Rb1 0.3750 0.6250 0.7500  8 Sn 4.15
Rb2 0.6250 0.3750 0.2500  8 Sn 4.15
Fe1 0.1250 0.8750 0.2500  4 Sn 2.39
Fe2 0.8750 0.1250 0.7500  4 Sn 2.39
Sn1 0.0000 0.0000 0.0000  2 Fe 2.39
Sn2 0.0000 0.0000 0.5000  2 Fe 2.39
Sn3 0.0000 0.5000 0.0000  2 Fe 2.39
Sn4 0.5000 0.0000 0.5000  2 Fe 2.39

Computed properties:
V, Å³ per atom: 38.6
Energy of formation from the pure elements, meV per atom: 209
Raw total energy, eV per cell: -33.203
Magnetization, Bohr magnetons per cell: 0.00
Fermi-level density of states, states/eV/atom: 0.5451
Space group: I4_1/amd, No. 141

---

2.
DFT (PBE) results for a relaxed structure of RbFeTcSn2.

Unit cell a=5.8787 b=5.8787 c=5.0004 alpha=90.00 beta=90.00 gamma=90.00
Closest atoms and distances in Å follow each position.
Element x y z (fractional)
Rb1 0.0000 0.0000 0.0000  2 Tc 2.50
Fe1 0.5000 0.5000 0.5000  8 Sn 3.86, 4 Tc 4.16
Tc1 0.0000 0.0000 0.5000  2 Rb 2.50
Sn1 0.0000 0.5000 0.0000  2 Rb 2.94
Sn2 0.5000 0.0000 0.0000  2 Rb 2.94

Computed properties:
V, Å³ per atom: 34.6
Energy of formation from the pure elements, meV per atom: 2569
Raw total energy, eV per cell: -14.957
Magnetization, Bohr magnetons per cell: 5.75
Fermi-level density of states, states/eV/atom: 2.1447
Space group: P4/mmm, No. 123

---

3.
DFT (PBE) results for a relaxed structure of Rb2VFeSn.

Unit cell a=5.8625 b=5.8625 c=5.1782 alpha=90.00 beta=90.00 gamma=90.00
Closest atoms and distances in Å follow each position.
Element x y z (fractional)
Rb1 0.0000 0.5000 0.0000  2 V 2.93
Rb2 0.5000 0.0000 0.0000  2 V 2.93
V1 0.0000 0.0000 0.0000  2 Sn 2.59
Fe1 0.5000 0.5000 0.5000  8 Rb 3.91, 4 Sn 4.15
Sn1 0.0000 0.0000 0.5000  2 V 2.59

Computed properties:
V, Å³ per atom: 35.6
Energy of formation from the pure elements, meV per atom: 1371
Raw total energy, eV per cell: -16.663
Magnetization, Bohr magnetons per cell: 6.72
Fermi-level density of states, states/eV/atom: 4.5708
Space group: P4/mmm, No. 123

---

4.
DFT (PBE) results for a relaxed structure of RbY2FeSn.

Unit cell a=5.9093 b=5.9093 c=4.8647 alpha=90.00 beta=90.00 gamma=90.00
Closest atoms and distances in Å follow each position.
Element x y z (fractional)
Rb1 0.0000 0.0000 0.0000  8 Y 3.83, 4 Fe 4.18
Y1 0.0000 0.5000 0.5000  2 Sn 2.95
Y2 0.5000 0.0000 0.5000  2 Sn 2.95
Fe1 0.5000 0.5000 0.0000  2 Sn 2.43
Sn1 0.5000 0.5000 0.5000  2 Fe 2.43

Computed properties:
V, Å³ per atom: 34.0
Energy of formation from the pure elements, meV per atom: 754
Raw total energy, eV per cell: -22.592
Magnetization, Bohr magnetons per cell: 0.07
Fermi-level density of states, states/eV/atom: 1.2623
Space group: P4/mmm, No. 123

---

5.
DFT (PBE) results for a relaxed structure of RbSrFe3.

Unit cell a=5.6427 b=5.6427 c=5.6427 alpha=90.00 beta=90.00 gamma=90.00
Closest atoms and distances in Å follow each position.
Element x y z (fractional)
Rb1 0.0000 0.0000 0.0000  12 Fe 3.99
Sr1 0.5000 0.5000 0.5000  6 Fe 2.82
Fe1 0.0000 0.5000 0.5000  2 Sr 2.82
Fe2 0.5000 0.0000 0.5000  2 Sr 2.82
Fe3 0.5000 0.5000 0.0000  2 Sr 2.82

Computed properties:
V, Å³ per atom: 35.9
Energy of formation from the pure elements, meV per atom: 1916
Raw total energy, eV per cell: -18.455
Magnetization, Bohr magnetons per cell: 9.03
Fermi-level density of states, states/eV/atom: 2.9810
Space group: Pm-3m, No. 221

---

6.
DFT (PBE) results for a relaxed structure of RbSrFe3.

Unit cell a=5.2528 b=5.2528 c=5.2528 alpha=90.00 beta=90.00 gamma=90.00
Closest atoms and distances in Å follow each position.
Element x y z (fractional)
Rb1 0.0000 0.0000 0.0000  6 Fe 2.63
Sr1 0.5000 0.5000 0.5000  12 Fe 3.71
Fe1 0.0000 0.0000 0.5000  2 Rb 2.63
Fe2 0.0000 0.5000 0.0000  2 Rb 2.63
Fe3 0.5000 0.0000 0.0000  2 Rb 2.63

Computed properties:
V, Å³ per atom: 29.0
Energy of formation from the pure elements, meV per atom: 2086
Raw total energy, eV per cell: -17.610
Magnetization, Bohr magnetons per cell: 9.22
Fermi-level density of states, states/eV/atom: 1.6625
Space group: Pm-3m, No. 221

---

7.
DFT (PBE) results for a relaxed structure of RbSrVFe2.

Unit cell a=4.6476 b=4.6476 c=5.7635 alpha=90.00 beta=90.00 gamma=90.00
Closest atoms and distances in Å follow each position.
Element x y z (fractional)
Rb1 0.0000 0.0000 0.0000  2 V 2.88
Sr1 0.5000 0.5000 0.0000  4 Rb 3.29
V1 0.0000 0.0000 0.5000  4 Fe 2.32
Fe1 0.0000 0.5000 0.5000  2 V 2.32
Fe2 0.5000 0.0000 0.5000  2 V 2.32

Computed properties:
V, Å³ per atom: 24.9
Energy of formation from the pure elements, meV per atom: 1175
Raw total energy, eV per cell: -22.820
Magnetization, Bohr magnetons per cell: 2.61
Fermi-level density of states, states/eV/atom: 1.4387
Space group: P4/mmm, No. 123

---

8.
DFT (PBE) results for a relaxed structure of RbTaFe3.

Unit cell a=4.8733 b=4.8733 c=4.8733 alpha=90.00 beta=90.00 gamma=90.00
Closest atoms and distances in Å follow each position.
Element x y z (fractional)
Rb1 0.0000 0.0000 0.0000  12 Fe 3.45
Ta1 0.5000 0.5000 0.5000  6 Fe 2.44
Fe1 0.0000 0.5000 0.5000  2 Ta 2.44
Fe2 0.5000 0.0000 0.5000  2 Ta 2.44
Fe3 0.5000 0.5000 0.0000  2 Ta 2.44

Computed properties:
V, Å³ per atom: 23.1
Energy of formation from the pure elements, meV per atom: 1453
Raw total energy, eV per cell: -30.945
Magnetization, Bohr magnetons per cell: 6.48
Fermi-level density of states, states/eV/atom: 1.1401
Space group: Pm-3m, No. 221

---

9.
DFT (PBE) results for a relaxed structure of RbTaFe3.

Unit cell a=4.3373 b=4.3373 c=4.3373 alpha=90.00 beta=90.00 gamma=90.00
Closest atoms and distances in Å follow each position.
Element x y z (fractional)
Rb1 0.0000 0.0000 0.0000  6 Fe 2.17
Ta1 0.5000 0.5000 0.5000  12 Fe 3.07
Fe1 0.0000 0.0000 0.5000  2 Rb 2.17
Fe2 0.0000 0.5000 0.0000  2 Rb 2.17
Fe3 0.5000 0.0000 0.0000  2 Rb 2.17

Computed properties:
V, Å³ per atom: 16.3
Energy of formation from the pure elements, meV per atom: 2872
Raw total energy, eV per cell: -23.850
Magnetization, Bohr magnetons per cell: 0.00
Fermi-level density of states, states/eV/atom: 2.1642
Space group: Pm-3m, No. 221

---

10.
DFT (PBE) results for a relaxed structure of Rb2FeTc4.

Unit cell a=10.4243 b=10.4243 c=10.4243 alpha=154.99 beta=154.99 gamma=35.66
Closest atoms and distances in Å follow each position.
Element x y z (fractional)
Rb1 0.1706 0.1706 0.0000  4 Tc 3.42
Rb2 0.8294 0.8294 0.0000  4 Tc 3.42
Fe1 0.5000 0.5000 0.0000  6 Tc 2.17-2.26
Tc1 0.0000 0.5000 0.5000  2 Fe 2.26
Tc2 0.3906 0.3906 0.0000  1 Fe 2.17
Tc3 0.5000 0.0000 0.5000  2 Fe 2.26
Tc4 0.6094 0.6094 0.0000  1 Fe 2.17

Computed properties:
V, Å³ per atom: 28.9
Energy of formation from the pure elements, meV per atom: 1785
Raw total energy, eV per cell: -39.368
Magnetization, Bohr magnetons per cell: 6.18
Fermi-level density of states, states/eV/atom: 1.1557
Space group: I4/mmm, No. 139

---

11.
DFT (PBE) results for a relaxed structure of RbFe2Te3.

Unit cell a=8.2954 b=8.2954 c=5.6284 alpha=90.00 beta=90.00 gamma=103.33
Closest atoms and distances in Å follow each position.
Element x y z (fractional)
Rb1 0.1498 0.8502 0.7500  8 Te 3.75-4.00
Rb2 0.8502 0.1498 0.2500  8 Te 3.75-4.00
Fe1 0.3759 0.3759 0.0000  3 Fe 2.55-2.81, 4 Te 2.55-2.60
Fe2 0.3759 0.3759 0.5000  3 Fe 2.55-2.81, 4 Te 2.55-2.60
Fe3 0.6241 0.6241 0.0000  3 Fe 2.55-2.81, 4 Te 2.55-2.60
Fe4 0.6241 0.6241 0.5000  3 Fe 2.55-2.81, 4 Te 2.55-2.60
Te1 0.1161 0.3613 0.7500  2 Fe 2.55
Te2 0.3613 0.1161 0.2500  2 Fe 2.55
Te3 0.3634 0.6366 0.2500  4 Fe 2.60
Te4 0.6366 0.3634 0.7500  4 Fe 2.60
Te5 0.6387 0.8839 0.7500  2 Fe 2.55
Te6 0.8839 0.6387 0.2500  2 Fe 2.55

Computed properties:
V, Å³ per atom: 31.4
Raw total energy, eV per cell: -57.979
Formation energy from raw total energies, eV/f.u.: -1.67
Magnetization, Bohr magnetons per cell: 11.69
Fermi-level density of states, states/eV/atom: 0.5209
Space group: Cmcm, No. 63

---

12.
DFT (PBE) results for a relaxed structure of Rb2FeTe2.

Unit cell a=7.7592 b=7.7592 c=5.7840 alpha=90.00 beta=90.00 gamma=90.00
Closest atoms and distances in Å follow each position.
Element x y z (fractional)
Rb1 0.1512 0.3488 0.0000  1 Rb 3.32, 2 Te 3.46
Rb2 0.3488 0.8488 0.0000  1 Rb 3.32, 2 Te 3.46
Rb3 0.6512 0.1512 0.0000  1 Rb 3.32, 2 Te 3.46
Rb4 0.8488 0.6512 0.0000  1 Rb 3.32, 2 Te 3.46
Fe1 0.0000 0.0000 0.5000  4 Te 2.86
Fe2 0.5000 0.5000 0.5000  4 Te 2.86
Te1 0.1764 0.6764 0.5000  2 Fe 2.86
Te2 0.3236 0.1764 0.5000  2 Fe 2.86
Te3 0.6764 0.8236 0.5000  2 Fe 2.86
Te4 0.8236 0.3236 0.5000  2 Fe 2.86

Computed properties:
V, Å³ per atom: 34.8
Raw total energy, eV per cell: -35.789
Formation energy from raw total energies, eV/f.u.: -1.21
Magnetization, Bohr magnetons per cell: 7.00
Fermi-level density of states, states/eV/atom: 0.9515
Space group: P4/mbm, No. 127